A plane-wave DFT calculation with PBE+U was carried out for crystalline Na3Mn2ZnO6 at its relaxed geometry.

The structure belongs to space group C2/m (No. 12); the cell edges are 5.227, 9.340 and 5.635 Å and the angles 90.00°, 107.19° and 90.00°. The asymmetric unit holds Na at (0.000, 0.000, 0.000), Na at (0.000, 0.338, 0.000), Mn at (0.000, 0.168, 0.500), Zn at (0.000, 0.500, 0.500), O at (0.219, 0.000, 0.699) and O at (0.248, 0.176, 0.299).

The crystal system is monoclinic. The total energy comes out at -137.0 eV/cell.